Density functional theory data (GGA-PBEsol) for a geometry-optimized NiAgOs2 structure.

a = 4.2551 Å, b = 4.2551 Å, c = 4.2551 Å
α = 60.00°, β = 60.00°, γ = 60.00°
Element x y z (fractional)
1 Ni 0.0000 0.0000 0.0000
2 Ag 0.5000 0.5000 0.5000
3 Os 0.2500 0.2500 0.2500
4 Os 0.7500 0.7500 0.7500

Computed properties:
The calculated total energy is -7.62 eV per atom. As for the size of the total moment: 0.000 μB per cell. As for the energy relative to the lowest polymorph listed for this composition: 0.551 eV per atom. The calculation puts the formation enthalpy at 0 K at 855.2 meV per atom. The symmetry is Fm-3m (225).

=====

Density functional theory data (GGA-PBEsol) for a geometry-optimized MgMn2OsRu structure.

a = 4.4469 Å, b = 4.4469 Å, c = 4.7471 Å
α = 90.00°, β = 90.00°, γ = 90.00°
Element x y z (fractional)
1 Mg 0.0000 0.0000 0.0000
2 Mn 0.0000 0.5000 0.5000
3 Mn 0.5000 0.0000 0.5000
4 Os 0.0000 0.0000 0.5000
5 Ru 0.5000 0.5000 0.0000

Computed properties:
The calculated total energy is -7.07 eV per atom. As for the size of the total moment: 6.960 μB per cell. The calculation puts the formation enthalpy at 0 K at 1659.0 meV per atom. The symmetry is P4/mmm (123).

=====

Density functional theory data (GGA-PBEsol) for a geometry-optimized AlZnPt2 structure.

a = 4.5254 Å, b = 4.5254 Å, c = 2.8185 Å
α = 90.00°, β = 90.00°, γ = 103.03°
Element x y z (fractional)
1 Al 0.0000 0.0000 0.0000
2 Zn 0.5000 0.5000 0.0000
3 Pt 0.0000 0.5000 0.5000
4 Pt 0.5000 0.0000 0.5000

Computed properties:
The calculated total energy is -5.68 eV per atom. As for the size of the total moment: 0.000 μB per cell. The calculation puts the formation enthalpy at 0 K at -784.6 meV per atom. The symmetry is Cmmm (65).

=====

Density functional theory data (GGA-PBEsol) for a geometry-optimized NiBrCl2 structure.

a = 2.7802 Å, b = 3.1672 Å, c = 9.1942 Å
α = 90.00°, β = 90.00°, γ = 90.00°
Element x y z (fractional)
1 Ni 0.0000 0.0000 0.0000
2 Br 0.5000 0.5000 0.2351
3 Cl 0.0000 0.0000 0.5705
4 Cl 0.5000 0.5000 0.8829

Computed properties:
The calculated total energy is -2.78 eV per atom. As for the size of the total moment: 1.563 μB per cell. As for the energy relative to the lowest polymorph listed for this composition: 0.508 eV per atom. The value obtained for the energy relative to the elements, uncorrected is 0.2323 eV/atom. The symmetry is Pmm2 (25).

=====

Density functional theory data (GGA-PBEsol) for a geometry-optimized Mo5W3 structure.

a = 6.2728 Å, b = 6.2728 Å, c = 6.2728 Å
α = 90.00°, β = 90.00°, γ = 90.00°
Element x y z (fractional)
1 Mo 0.0000 0.0000 0.0000
2 Mo 0.0000 0.9999 0.4990
3 Mo 0.0000 0.4990 0.9999
4 Mo 0.2495 0.2494 0.2494
5 Mo 0.2496 0.2494 0.7494
6 Mo 0.2496 0.7494 0.2494
7 Mo 0.5000 0.4990 0.4990
8 Mo 0.7505 0.2494 0.2494
9 Mo 0.7504 0.2494 0.7494
10 Mo 0.7504 0.7494 0.2494
11 W 0.0000 0.4987 0.4987
12 W 0.2494 0.7494 0.7494
13 W 0.5000 0.0000 0.0000
14 W 0.5000 0.0001 0.4987
15 W 0.5000 0.4987 0.0001
16 W 0.7506 0.7494 0.7494

Computed properties:
The calculated total energy is -12.53 eV per atom. As for the size of the total moment: 0.000 μB per cell. As for the energy relative to the lowest polymorph listed for this composition: 0.006 eV per atom. The calculation puts the formation enthalpy at 0 K at 0.5 meV per atom. The symmetry is Amm2 (38).

=====

Density functional theory data (GGA-PBEsol) for a geometry-optimized Mg3Fe3O8 structure.

a = 5.8714 Å, b = 5.8714 Å, c = 5.8714 Å
α = 59.81°, β = 59.81°, γ = 59.81°
Element x y z (fractional)
1 Mg 0.0000 0.5000 0.5000
2 Mg 0.5000 0.0000 0.5000
3 Mg 0.5000 0.5000 0.0000
4 Fe 0.1320 0.1320 0.1320
5 Fe 0.5000 0.5000 0.5000
6 Fe 0.8680 0.8680 0.8680
7 O 0.2579 0.2579 0.2579
8 O 0.2692 0.2692 0.7301
9 O 0.2692 0.7301 0.2692
10 O 0.2699 0.7308 0.7308
11 O 0.7301 0.2692 0.2692
12 O 0.7308 0.2699 0.7308
13 O 0.7308 0.7308 0.2699
14 O 0.7421 0.7421 0.7421

Computed properties:
The calculated total energy is -7.13 eV per atom. As for the size of the total moment: 12.002 μB per cell. The value obtained for the energy relative to the elements, uncorrected is -1.8399 eV/atom. The symmetry is R-3m (166).

=====

Density functional theory data (GGA-PBEsol) for a geometry-optimized TeAsOsN2 structure.

a = 3.8168 Å, b = 3.8168 Å, c = 5.8031 Å
α = 90.00°, β = 90.00°, γ = 90.00°
Element x y z (fractional)
1 Te 0.0000 0.0000 0.0000
2 As 0.5000 0.5000 0.0000
3 Os 0.0000 0.0000 0.5000
4 N 0.0000 0.5000 0.5000
5 N 0.5000 0.0000 0.5000

Computed properties:
The calculated total energy is -6.84 eV per atom. As for the size of the total moment: 0.022 μB per cell. The value obtained for the energy relative to the elements, uncorrected is 0.7450 eV/atom. The symmetry is P4/mmm (123).

=====

Density functional theory data (GGA-PBEsol) for a geometry-optimized In3NiMo structure.

a = 4.7607 Å, b = 4.7607 Å, c = 4.7607 Å
α = 90.00°, β = 90.00°, γ = 90.00°
Element x y z (fractional)
1 In 0.0000 0.0000 0.5000
2 In 0.0000 0.5000 0.0000
3 In 0.5000 0.0000 0.0000
4 Ni 0.0000 0.0000 0.0000
5 Mo 0.5000 0.5000 0.5000

Computed properties:
The calculated total energy is -4.61 eV per atom. As for the size of the total moment: 3.538 μB per cell. The calculation puts the formation enthalpy at 0 K at 767.2 meV per atom. The symmetry is Pm-3m (221).

=====

Density functional theory data (GGA-PBEsol) for a geometry-optimized TcAgSn2Br structure.

a = 5.1692 Å, b = 5.1692 Å, c = 5.2584 Å
α = 90.00°, β = 90.00°, γ = 90.00°
Element x y z (fractional)
1 Tc 0.0000 0.0000 0.0000
2 Ag 0.0000 0.0000 0.5000
3 Sn 0.0000 0.5000 0.5000
4 Sn 0.5000 0.0000 0.5000
5 Br 0.5000 0.5000 0.0000

Computed properties:
The calculated total energy is -3.91 eV per atom. As for the size of the total moment: 3.968 μB per cell. The value obtained for the energy relative to the elements, uncorrected is 1.0824 eV/atom. The symmetry is P4/mmm (123).

=====

Density functional theory data (GGA-PBEsol) for a geometry-optimized IrRu structure.

a = 4.3005 Å, b = 2.7056 Å, c = 4.6961 Å
α = 90.00°, β = 90.00°, γ = 90.00°
Element x y z (fractional)
1 Ir 0.2500 0.0000 0.1680
2 Ir 0.7500 0.0000 0.8320
3 Ru 0.2500 0.5000 0.6656
4 Ru 0.7500 0.5000 0.3344

Computed properties:
The calculated total energy is -10.05 eV per atom. As for the size of the total moment: 0.000 μB per cell. As for the energy relative to the lowest polymorph listed for this composition: 0.000 eV per atom. The calculation puts the formation enthalpy at 0 K at -49.7 meV per atom. The symmetry is Pmma (51).

=====

Density functional theory data (GGA-PBEsol) for a geometry-optimized YFe2Se structure.

a = 4.7486 Å, b = 4.7486 Å, c = 4.5398 Å
α = 103.24°, β = 103.24°, γ = 41.54°
Element x y z (fractional)
1 Y 0.0000 0.0000 0.0000
2 Fe 0.2355 0.2355 0.6751
3 Fe 0.7645 0.7645 0.3249
4 Se 0.5000 0.5000 0.5000

Computed properties:
The calculated total energy is -7.25 eV per atom. As for the size of the total moment: 4.207 μB per cell. The value obtained for the energy relative to the elements, uncorrected is -0.1033 eV/atom. The symmetry is C2/m (12).

=====

Density functional theory data (GGA-PBEsol) for a geometry-optimized ZnRu3 structure.

a = 2.6937 Å, b = 2.6937 Å, c = 8.4923 Å
α = 90.00°, β = 90.00°, γ = 120.00°
Element x y z (fractional)
1 Zn 0.0000 0.0000 0.0000
2 Ru 0.0000 0.0000 0.5000
3 Ru 0.3333 0.6667 0.2571
4 Ru 0.3333 0.6667 0.7429

Computed properties:
The calculated total energy is -8.03 eV per atom. As for the size of the total moment: 0.000 μB per cell. The calculation puts the formation enthalpy at 0 K at -5.6 meV per atom. The symmetry is P-6m2 (187).

=====

Density functional theory data (GGA-PBEsol) for a geometry-optimized Sc2AlMoRu structure.

a = 4.9316 Å, b = 4.9316 Å, c = 4.4952 Å
α = 90.00°, β = 90.00°, γ = 90.00°
Element x y z (fractional)
1 Sc 0.0000 0.5000 0.0000
2 Sc 0.5000 0.0000 0.0000
3 Al 0.0000 0.0000 0.5000
4 Mo 0.5000 0.5000 0.0000
5 Ru 0.5000 0.5000 0.5000

Computed properties:
The calculated total energy is -7.10 eV per atom. As for the size of the total moment: 0.000 μB per cell. The calculation puts the formation enthalpy at 0 K at 745.4 meV per atom. The symmetry is P4/mmm (123).

=====

Density functional theory data (GGA-PBEsol) for a geometry-optimized CrSO2F structure.

a = 3.7497 Å, b = 3.7497 Å, c = 3.7857 Å
α = 90.00°, β = 90.00°, γ = 90.00°
Element x y z (fractional)
1 Cr 0.0000 0.0000 0.0000
2 S 0.5000 0.5000 0.5000
3 O 0.0000 0.5000 0.0000
4 O 0.5000 0.0000 0.0000
5 F 0.0000 0.0000 0.5000

Computed properties:
The calculated total energy is -6.16 eV per atom. As for the size of the total moment: 2.448 μB per cell. The value obtained for the energy relative to the elements, uncorrected is -0.7522 eV/atom. The symmetry is P4/mmm (123).

=====

Density functional theory data (GGA-PBEsol) for a geometry-optimized LaScSe structure.

a = 3.8154 Å, b = 3.8154 Å, c = 6.4835 Å
α = 90.00°, β = 90.00°, γ = 120.00°
Element x y z (fractional)
1 La 0.0000 0.0000 0.0000
2 Sc 0.3333 0.6667 0.5363
3 Se 0.6667 0.3333 0.3076

Computed properties:
The calculated total energy is -6.30 eV per atom. As for the size of the total moment: 0.078 μB per cell. The value obtained for the energy relative to the elements, uncorrected is -1.0278 eV/atom. The symmetry is P3m1 (156).

=====

Density functional theory data (GGA-PBEsol) for a geometry-optimized ScOsCl2 structure.

a = 4.2467 Å, b = 4.2467 Å, c = 3.3327 Å
α = 90.00°, β = 90.00°, γ = 90.00°
Element x y z (fractional)
1 Sc 0.0000 0.0000 0.0000
2 Os 0.5000 0.5000 0.0000
3 Cl 0.0000 0.5000 0.5000
4 Cl 0.5000 0.0000 0.5000

Computed properties:
The calculated total energy is -5.62 eV per atom. As for the size of the total moment: 0.000 μB per cell. As for the energy relative to the lowest polymorph listed for this composition: 0.516 eV per atom. The value obtained for the energy relative to the elements, uncorrected is 0.0935 eV/atom. The symmetry is P4/mmm (123).

=====

Density functional theory data (GGA-PBEsol) for a geometry-optimized Al2AgN2 structure.

a = 5.9141 Å, b = 5.9141 Å, c = 5.9141 Å
α = 142.71°, β = 142.71°, γ = 53.76°
Element x y z (fractional)
1 Al 0.2378 0.2378 0.0000
2 Al 0.7622 0.7622 0.0000
3 Ag 0.5000 0.5000 0.0000
4 N 0.2500 0.7500 0.5000
5 N 0.7500 0.2500 0.5000

Computed properties:
The calculated total energy is -6.01 eV per atom. As for the size of the total moment: 0.000 μB per cell. The value obtained for the energy relative to the elements, uncorrected is -0.3028 eV/atom. The symmetry is I4/mmm (139).

=====

Density functional theory data (GGA-PBEsol) for a geometry-optimized BeCl2 structure.

a = 12.5975 Å, b = 12.5975 Å, c = 3.2985 Å
α = 97.32°, β = 97.32°, γ = 15.04°
Element x y z (fractional)
1 Be 0.1251 0.1251 0.3637
2 Be 0.8749 0.8749 0.6363
3 Cl 0.1736 0.1736 0.9109
4 Cl 0.4233 0.4233 0.6833
5 Cl 0.5767 0.5767 0.3167
6 Cl 0.8264 0.8264 0.0891

Computed properties:
The calculated total energy is -4.05 eV per atom. As for the size of the total moment: 0.000 μB per cell. As for the energy relative to the lowest polymorph listed for this composition: 0.034 eV per atom. The value obtained for the energy relative to the elements, uncorrected is -1.3808 eV/atom. The symmetry is C2/m (12).

=====

Density functional theory data (GGA-PBEsol) for a geometry-optimized BaMg2Pb structure.

a = 5.5463 Å, b = 5.5463 Å, c = 5.5463 Å
α = 60.00°, β = 60.00°, γ = 60.00°
Element x y z (fractional)
1 Ba 0.0000 0.0000 0.0000
2 Mg 0.5000 0.5000 0.5000
3 Mg 0.7500 0.7500 0.7500
4 Pb 0.2500 0.2500 0.2500

Computed properties:
The calculated total energy is -2.60 eV per atom. As for the size of the total moment: 0.000 μB per cell. The calculation puts the formation enthalpy at 0 K at -205.3 meV per atom. The symmetry is F-43m (216).

=====

Density functional theory data (GGA-PBEsol) for a geometry-optimized Ba5Hg structure.

a = 7.6584 Å, b = 7.6584 Å, c = 10.4499 Å
α = 112.30°, β = 112.30°, γ = 32.03°
Element x y z (fractional)
1 Ba 0.0000 0.0000 0.0000
2 Ba 0.3365 0.3365 0.2239
3 Ba 0.3716 0.3716 0.6288
4 Ba 0.6284 0.6284 0.3712
5 Ba 0.6635 0.6635 0.7761
6 Hg 0.0000 0.0000 0.5000

Computed properties:
The calculated total energy is -2.06 eV per atom. As for the size of the total moment: 0.000 μB per cell. The calculation puts the formation enthalpy at 0 K at -178.4 meV per atom. The symmetry is C2/m (12).